# 1
Entry from the Open Quantum Materials Database: crystalline KIn2Au2 at its relaxed geometry (PBE).

Output
relative energy among the computed polymorphs	0	kJ/mol of formula units

abc: 4.805 4.805 11.805
angles: 90.00 90.00 90.00
Space group I4/mmm (No. 139)
Asymmetric unit:
K1 0.000 0.000 0.000
In1 0.000 0.500 0.250
Au1 0.000 0.000 0.383


# 2
Entry from the Open Quantum Materials Database: crystalline KInAu at its relaxed geometry (PBE).

Output
total DFT energy (no corrections)	-2.10	eV per atom

abc: 7.563 7.563 7.563
angles: 90.00 90.00 90.00
Space group F-43m (No. 216)
Asymmetric unit:
K1 0.000 0.000 0.000
In1 0.250 0.250 0.250
Au1 0.250 0.250 0.750


# 3
Entry from the Open Quantum Materials Database: crystalline K2InAu2 at its relaxed geometry (PBE).

Output
total DFT energy (no corrections)	-2.61	eV per atom

abc: 11.219 6.704 8.438
angles: 90.00 102.48 90.00
Space group C2/c (No. 15)
Asymmetric unit:
K1 0.145 0.130 0.138
In1 0.000 0.399 0.750
Au1 0.141 0.357 0.503


# 4
Entry from the Open Quantum Materials Database: crystalline KIn2Au at its relaxed geometry (PBE).

Output
total DFT energy (no corrections)	-2.32	eV per atom

abc: 6.208 17.479 6.651
angles: 90.00 90.00 90.00
Space group Cmmm (No. 65)
Asymmetric unit:
K1 0.000 0.115 0.000
In1 0.000 0.416 0.282
Au1 0.000 0.300 0.000


# 5
Entry from the Open Quantum Materials Database: crystalline KInAu at its relaxed geometry (PBE).

Output
total DFT energy (no corrections)	-2.46	eV per atom

abc: 7.323 7.323 7.323
angles: 90.00 90.00 90.00
Space group F-43m (No. 216)
Asymmetric unit:
K1 0.000 0.000 0.000
In1 0.000 0.000 0.500
Au1 0.250 0.250 0.750


# 6
Entry from the Open Quantum Materials Database: crystalline KIn2Au2 at its relaxed geometry (PBE).

Output
relative energy among the computed polymorphs	7	kJ/mol of formula units

abc: 5.168 5.168 10.597
angles: 90.00 90.00 90.00
Space group I4/mmm (No. 139)
Asymmetric unit:
K1 0.000 0.000 0.000
In1 0.000 0.000 0.356
Au1 0.000 0.500 0.250


# 7
Entry from the Open Quantum Materials Database: crystalline KNaIn4Au2 at its relaxed geometry (PBE).

Output
total DFT energy (no corrections)	-2.76	eV per atom

abc: 8.102 4.674 10.852
angles: 90.00 90.00 90.00
Space group Amm2 (No. 38)
Asymmetric unit:
K1 0.000 0.000 0.000
Na1 0.500 0.000 0.134
In1 0.204 0.000 0.707
In2 0.309 0.000 0.421
Au1 0.000 0.000 0.287
Au2 0.500 0.000 0.852


# 8
Entry from the Open Quantum Materials Database: crystalline KInPbAu at its relaxed geometry (PBE).

Output
relative energy among the computed polymorphs	0	kJ/mol of formula units

abc: 19.654 4.846 5.386
angles: 90.00 94.04 90.00
Space group C2/m (No. 12)
Asymmetric unit:
K1 0.110 0.000 0.278
In1 0.200 0.500 0.835
Pb1 0.042 0.500 0.761
Au1 0.242 0.500 0.341


# 9
Entry from the Open Quantum Materials Database: crystalline KInPbAu at its relaxed geometry (PBE).

Output
relative energy among the computed polymorphs	93	kJ/mol of formula units

abc: 5.459 25.650 3.785
angles: 90.00 90.00 90.00
Space group Cmm2 (No. 35)
Asymmetric unit:
K1 0.000 0.102 0.000
In1 0.000 0.319 0.500
Pb1 0.000 0.443 0.502
Au1 0.000 0.210 0.500


# 10
Entry from the Open Quantum Materials Database: crystalline KInPbAu at its relaxed geometry (PBE).

Output
relative energy among the computed polymorphs	131	kJ/mol of formula units

abc: 12.713 5.251 19.289
angles: 90.00 90.00 90.00
Space group Amm2 (No. 38)
Asymmetric unit:
K1 0.000 0.000 0.000
K2 0.000 0.000 0.235
In1 0.220 0.000 0.405
Pb1 0.225 0.000 0.833
Au1 0.000 0.000 0.403
Au2 0.000 0.000 0.832


# 11
Entry from the Open Quantum Materials Database: crystalline KRbIn4Au2 at its relaxed geometry (PBE).

Output
total DFT energy (no corrections)	-2.69	eV per atom

abc: 8.246 4.744 12.444
angles: 90.00 90.00 90.00
Space group Amm2 (No. 38)
Asymmetric unit:
K1 0.000 0.000 0.000
Rb1 0.500 0.000 0.092
In1 0.190 0.000 0.714
In2 0.305 0.000 0.380
Au1 0.000 0.000 0.272
Au2 0.500 0.000 0.818


# 12
Entry from the Open Quantum Materials Database: crystalline K2Rb3InAu2 at its relaxed geometry (PBE).

Output
total DFT energy (no corrections)	-1.95	eV per atom

abc: 23.195 4.886 7.939
angles: 90.00 108.34 90.00
Space group Cm (No. 8)
Asymmetric unit:
K1 0.000 0.000 0.000
K2 0.182 0.000 0.065
Rb1 0.223 0.500 0.566
Rb2 0.339 0.500 0.145
Rb3 0.483 0.000 0.512
In1 0.374 0.000 0.799
Au1 0.313 0.000 0.429
Au2 0.380 0.500 0.623